Entry from Alexandria via LeMat-Bulk: a geometry-optimized La2Al3Ge4Pd structure (PBE).

It has space group P-4m2 (No. 115), with a = 4.5928 Å, b = 4.5928 Å, c = 9.8565 Å, α = 90.00°, β = 90.00° and γ = 90.00°. The asymmetric unit holds La at (0.0000, 0.5000, 0.2484), Al at (0.0000, 0.0000, 0.0000), Al at (0.0000, 0.5000, 0.6177), Ge at (0.0000, 0.0000, 0.5000), Ge at (0.0000, 0.5000, 0.8711), Ge at (0.5000, 0.5000, 0.5000) and Pd at (0.5000, 0.5000, 0.0000).

As for the formation enthalpy at 0 K: -0.52 eV/atom. Its density of states at the Fermi level is 0.232 states/eV/atom.



Entry from Alexandria via LeMat-Bulk: a geometry-optimized La2Pm2AlGe4 structure (PBE).

It has space group I4/mmm (No. 139), with a = 7.1544 Å, b = 7.1544 Å, c = 8.9664 Å, α = 90.00°, β = 90.00° and γ = 90.00°. The asymmetric unit holds La at (0.0000, 0.5000, 0.2500), Pm at (0.0000, 0.0000, 0.1853), Al at (0.0000, 0.0000, 0.5000) and Ge at (0.2474, 0.2474, 0.5000).

As for the formation enthalpy at 0 K: -0.39 eV/atom. Its density of states at the Fermi level is 0.608 states/eV/atom.



Entry from Alexandria via LeMat-Bulk: a geometry-optimized LaPrAlGe structure (PBE).

It has space group F-43m (No. 216), with a = 7.5274 Å, b = 7.5274 Å, c = 7.5274 Å, α = 90.00°, β = 90.00° and γ = 90.00°. The asymmetric unit holds La at (0.0000, 0.0000, 0.0000), Pr at (0.0000, 0.0000, 0.5000), Al at (0.2500, 0.2500, 0.2500) and Ge at (0.2500, 0.2500, 0.7500).

As for the distance to the lowest polymorph of the same formula: 0.207 eV per atom. As for the formation enthalpy at 0 K: -0.45 eV/atom. Its density of states at the Fermi level is 0.585 states/eV/atom.



Entry from Alexandria via LeMat-Bulk: a geometry-optimized LaPrAlGe structure (PBE).

It has space group Amm2 (No. 38), with a = 4.1593 Å, b = 4.5699 Å, c = 11.5698 Å, α = 90.00°, β = 90.00° and γ = 90.00°. The asymmetric unit holds La at (0.0000, 0.0000, 0.0000), Pr at (0.5000, 0.0000, 0.2842), Al at (0.0000, 0.0000, 0.7110) and Ge at (0.5000, 0.0000, 0.5710).

As for the distance to the lowest polymorph of the same formula: 0.000 eV per atom. As for the formation enthalpy at 0 K: -0.66 eV/atom. Its density of states at the Fermi level is 0.829 states/eV/atom.



Which of these has the lowest density of states at the Fermi level?
La2Al3Ge4Pd



Repeat the fourth record exactly.
Entry from Alexandria via LeMat-Bulk: a geometry-optimized LaPrAlGe structure (PBE).

It has space group Amm2 (No. 38), with a = 4.1593 Å, b = 4.5699 Å, c = 11.5698 Å, α = 90.00°, β = 90.00° and γ = 90.00°. The asymmetric unit holds La at (0.0000, 0.0000, 0.0000), Pr at (0.5000, 0.0000, 0.2842), Al at (0.0000, 0.0000, 0.7110) and Ge at (0.5000, 0.0000, 0.5710).

As for the distance to the lowest polymorph of the same formula: 0.000 eV per atom. As for the formation enthalpy at 0 K: -0.66 eV/atom. Its density of states at the Fermi level is 0.829 states/eV/atom.